# HfZn2Cd

HfZn2Cd after structural relaxation (GGA-PBE, OQMD).

a = 4.649 Å, b = 4.649 Å, c = 4.649 Å
α = 60.00°, β = 60.00°, γ = 60.00°
Element x y z (fractional)
Hf 0.000 0.000 0.000
Zn 0.250 0.250 0.250
Zn 0.500 0.500 0.500
Cd 0.750 0.750 0.750

ΔH_f (0 K)	80	meV per atom
size of the total moment	0.0	μB/cell



# HfZnCd

HfZnCd after structural relaxation (GGA-PBE, OQMD).

a = 4.494 Å, b = 4.494 Å, c = 4.494 Å
α = 60.00°, β = 60.00°, γ = 60.00°
Element x y z (fractional)
Cd 0.000 0.000 0.000
Hf 0.250 0.250 0.250
Zn 0.750 0.750 0.750

ΔH_f (0 K)	342	meV per atom
size of the total moment	0.0	μB/cell



# Hf2Zn3Cd

Hf2Zn3Cd after structural relaxation (GGA-PBE, OQMD).

a = 3.117 Å, b = 3.117 Å, c = 10.864 Å
α = 90.00°, β = 90.00°, γ = 90.00°
Element x y z (fractional)
Cd 0.000 0.000 0.822
Zn 0.500 0.500 0.659
Zn 0.500 0.500 0.321
Zn 0.000 0.000 0.186
Hf 0.000 0.000 0.494
Hf 0.500 0.500 0.019

ΔH_f (0 K)	-94	meV per atom
size of the total moment	0.0	μB/cell



# HfZrCd2

HfZrCd2 after structural relaxation (GGA-PBE, OQMD).

a = 4.994 Å, b = 4.994 Å, c = 4.994 Å
α = 60.00°, β = 60.00°, γ = 60.00°
Element x y z (fractional)
Hf 0.250 0.250 0.250
Zr 0.500 0.500 0.500
Cd 0.750 0.750 0.750
Cd 0.000 0.000 0.000

ΔH_f (0 K)	259	meV per atom
size of the total moment	2.7	μB/cell



# HfZrCd2

HfZrCd2 after structural relaxation (GGA-PBE, OQMD).

a = 3.111 Å, b = 3.111 Å, c = 8.976 Å
α = 90.00°, β = 90.00°, γ = 90.00°
Element x y z (fractional)
Cd 0.000 0.000 0.380
Cd 0.500 0.500 0.622
Hf 0.000 0.000 0.875
Zr 0.500 0.500 0.123

ΔH_f (0 K)	-106	meV per atom
size of the total moment	0.0	μB/cell



# Hf2Zr2Cd

Hf2Zr2Cd after structural relaxation (GGA-PBE, OQMD).

a = 7.647 Å, b = 7.647 Å, c = 7.647 Å
α = 148.75°, β = 148.75°, γ = 44.78°
Element x y z (fractional)
Cd 0.000 0.000 0.000
Zr 0.750 0.250 0.500
Zr 0.250 0.750 0.500
Hf 0.593 0.593 0.000
Hf 0.407 0.407 0.000

ΔH_f (0 K)	559	meV per atom
size of the total moment	0.0	μB/cell



# Cd28Hg

Cd28Hg after structural relaxation (GGA-PBE, OQMD).

a = 9.413 Å, b = 9.413 Å, c = 9.413 Å
α = 109.47°, β = 109.47°, γ = 109.47°
Element x y z (fractional)
Cd 0.730 0.309 0.309
Cd 0.691 0.000 0.421
Cd 0.000 0.421 0.691
Cd 0.579 0.270 0.579
Cd 0.000 0.000 0.668
Cd 0.332 0.332 0.332
Cd 0.191 0.386 0.000
Cd 0.195 0.809 0.809
Cd 0.614 0.614 0.805
Cd 0.668 0.000 0.000
Cd 0.805 0.614 0.614
Cd 0.809 0.809 0.195
Cd 0.386 0.191 0.000
Cd 0.421 0.000 0.691
Cd 0.691 0.421 0.000
Cd 0.809 0.195 0.809
Cd 0.386 0.000 0.191
Cd 0.309 0.730 0.309
Cd 0.270 0.579 0.579
Cd 0.000 0.191 0.386
Cd 0.000 0.386 0.191
Cd 0.421 0.691 0.000
Cd 0.000 0.668 0.000
Cd 0.309 0.309 0.730
Cd 0.614 0.805 0.614
Cd 0.579 0.579 0.270
Cd 0.191 0.000 0.386
Cd 0.000 0.691 0.421
Hg 0.000 0.000 0.000

ΔH_f (0 K)	24	meV per atom



# Cd2Hg

Cd2Hg after structural relaxation (GGA-PBE, OQMD).

a = 3.967 Å, b = 3.967 Å, c = 5.209 Å
α = 112.38°, β = 112.38°, γ = 90.00°
Element x y z (fractional)
Cd 0.333 0.333 0.667
Cd 0.667 0.667 0.333
Hg 0.000 0.000 0.000

ΔH_f (0 K)	1	meV per atom



# Ho3Mg3Cd2Hg

Ho3Mg3Cd2Hg after structural relaxation (GGA-PBE, OQMD).

a = 7.800 Å, b = 7.800 Å, c = 4.208 Å
α = 90.00°, β = 90.00°, γ = 120.00°
Element x y z (fractional)
Ho 0.410 0.410 0.000
Ho 0.590 0.000 0.000
Ho 0.000 0.590 0.000
Cd 0.667 0.333 0.500
Cd 0.333 0.667 0.500
Mg 0.250 0.000 0.500
Mg 0.750 0.750 0.500
Mg 0.000 0.250 0.500
Hg 0.000 0.000 0.000

electronic total energy	-0.094	Ha/atom
size of the total moment	0.0	μB/cell



# Nd2HoMg3CdHg2

Nd2HoMg3CdHg2 after structural relaxation (GGA-PBE, OQMD).

a = 4.746 Å, b = 7.476 Å, c = 7.476 Å
α = 119.21°, β = 90.00°, γ = 90.00°
Element x y z (fractional)
Mg 0.500 0.000 0.758
Mg 0.500 0.239 0.239
Mg 0.500 0.758 0.000
Ho 0.000 0.575 0.575
Hg 0.500 0.666 0.342
Hg 0.500 0.342 0.666
Nd 0.000 0.003 0.426
Nd 0.000 0.426 0.003
Cd 0.000 0.990 0.990

electronic total energy	-0.096	Ha/atom
size of the total moment	0.0	μB/cell



# CdIn2Hg

CdIn2Hg after structural relaxation (GGA-PBE, OQMD).

a = 5.276 Å, b = 5.276 Å, c = 5.276 Å
α = 60.00°, β = 60.00°, γ = 60.00°
Element x y z (fractional)
In 0.250 0.250 0.250
In 0.500 0.500 0.500
Cd 0.750 0.750 0.750
Hg 0.000 0.000 0.000

electronic total energy	-0.060	Ha/atom



# Li4Cd2InHg

Li4Cd2InHg after structural relaxation (GGA-PBE, OQMD).

a = 4.721 Å, b = 4.721 Å, c = 6.665 Å
α = 90.00°, β = 90.00°, γ = 90.00°
Element x y z (fractional)
Cd 0.500 0.000 0.750
Cd 0.000 0.500 0.250
In 0.500 0.500 0.500
Li 0.500 0.500 0.000
Li 0.000 0.500 0.757
Li 0.500 0.000 0.243
Li 0.000 0.000 0.500
Hg 0.000 0.000 0.000

electronic total energy	-0.068	Ha/atom